Record 1
A geometry-optimized HfGa2Ge structure. Source: OQMD via LeMat-Bulk, functional PBE.

* energy: -20.26 eV per formula unit
* theoretical density: 8.583 g cm⁻³

Cell: 4.745 4.745 4.745 Å, 60.00 60.00 60.00°
Fractional positions:
Hf  0.500  0.500  0.500
Ga  0.000  0.000  0.000
Ga  0.250  0.250  0.250
Ge  0.750  0.750  0.750



Record 2
A geometry-optimized CuTcNiAs structure. Source: OQMD via LeMat-Bulk, functional PBE.

* ΔE to the lowest computed polymorph: 0 meV/atom
* energy: -23.89 eV per formula unit
* theoretical density: 9.364 g cm⁻³

Cell: 4.199 4.199 4.199 Å, 60.00 60.00 60.00°
Fractional positions:
Ni  0.500  0.500  0.500
Tc  0.250  0.250  0.250
As  0.000  0.000  0.000
Cu  0.750  0.750  0.750



Record 3
A geometry-optimized Zr structure. Source: OQMD via LeMat-Bulk, functional PBE.

* DFT formation energy: 0.134 eV/atom
* ΔE to the lowest computed polymorph: 134 meV/atom
* energy: -8.41 eV per formula unit
* theoretical density: 6.645 g cm⁻³

Cell: 9.505 9.505 9.505 Å, 109.47 109.47 109.47°
Fractional positions:
Zr  0.635  0.823  0.635
Zr  0.673  0.389  0.000
Zr  0.623  0.000  0.000
Zr  0.812  0.177  0.812
Zr  0.389  0.673  0.000
Zr  0.611  0.611  0.284
Zr  0.635  0.635  0.823
Zr  0.327  0.716  0.327
Zr  0.365  0.000  0.188
Zr  0.188  0.365  0.000
Zr  0.823  0.635  0.635
Zr  0.000  0.673  0.389
Zr  0.000  0.188  0.365
Zr  0.284  0.611  0.611
Zr  0.673  0.000  0.389
Zr  0.177  0.812  0.812
Zr  0.611  0.284  0.611
Zr  0.365  0.188  0.000
Zr  0.716  0.327  0.327
Zr  0.000  0.000  0.000
Zr  0.000  0.000  0.623
Zr  0.327  0.327  0.716
Zr  0.000  0.389  0.673
Zr  0.188  0.000  0.365
Zr  0.000  0.623  0.000
Zr  0.377  0.377  0.377
Zr  0.389  0.000  0.673
Zr  0.000  0.365  0.188
Zr  0.812  0.812  0.177



Record 4
A geometry-optimized ErSb2 structure. Source: OQMD via LeMat-Bulk, functional PBE.

* energy: -13.02 eV per formula unit
* theoretical density: 7.955 g cm⁻³

Cell: 6.236 6.236 6.236 Å, 60.00 60.00 60.00°
Fractional positions:
Er  0.000  0.000  0.000
Er  0.250  0.250  0.250
Sb  0.625  0.625  0.125
Sb  0.625  0.125  0.625
Sb  0.125  0.625  0.625
Sb  0.625  0.625  0.625



Record 5
A geometry-optimized HoHgNO structure. Source: OQMD via LeMat-Bulk, functional PBE.

* ΔE to the lowest computed polymorph: 13 meV/atom
* energy: -22.77 eV per formula unit
* theoretical density: 9.580 g cm⁻³

Cell: 3.978 5.672 6.077 Å, 90.00 90.00 90.00°
Fractional positions:
Hg  0.500  0.467  0.772
Hg  0.500  0.967  0.228
N  0.000  0.887  0.344
N  0.000  0.387  0.656
O  0.500  0.911  0.825
O  0.500  0.411  0.175
Ho  0.000  0.489  0.300
Ho  0.000  0.989  0.700



Record 6
A geometry-optimized Tm6TlPd2 structure. Source: OQMD via LeMat-Bulk, functional PBE.

* energy: -44.38 eV per formula unit
* theoretical density: 10.249 g cm⁻³

Cell: 8.457 8.457 8.457 Å, 112.81 110.28 105.42°
Fractional positions:
Tm  0.672  0.971  0.299
Tm  0.328  0.029  0.701
Tm  0.183  0.290  0.473
Tm  0.965  0.763  0.202
Tm  0.328  0.627  0.299
Tm  0.672  0.373  0.701
Tm  0.817  0.710  0.527
Tm  0.035  0.237  0.798
Tm  0.561  0.763  0.798
Tm  0.817  0.290  0.106
Tm  0.439  0.237  0.202
Tm  0.183  0.710  0.894
Pd  0.346  0.000  0.346
Pd  0.654  0.000  0.654
Pd  0.134  0.634  0.500
Pd  0.866  0.366  0.500
Tl  0.000  0.000  0.000
Tl  0.500  0.500  0.000